Entry 1:
The following is a DFT calculation (PBE) of a relaxed structure of NaCa3Nd2Te6.

Unit cell a=4.501 b=9.099 c=10.107 alpha=102.92 beta=102.87 gamma=90.00
Fractional positions:
Na  0.500  0.000  0.000
Ca  0.500  0.500  0.000
Ca  0.836  0.164  0.673
Ca  0.164  0.836  0.327
Nd  0.836  0.669  0.673
Nd  0.164  0.331  0.327
Te  0.330  0.914  0.660
Te  0.668  0.587  0.336
Te  0.670  0.086  0.340
Te  0.001  0.255  0.001
Te  0.999  0.745  0.999
Te  0.332  0.413  0.664

Calculated values
Volume in A^3/atom: 32.73
Crystal system: monoclinic
Energy in eV for the cell shown: -53.5

---

Entry 2:
The following is a DFT calculation (PBE) of a relaxed structure of NaCa2NdTe4.

Unit cell a=4.547 b=7.842 c=7.814 alpha=108.80 beta=90.00 gamma=90.00
Fractional positions:
Na  0.500  0.500  0.000
Ca  0.500  0.000  0.500
Ca  0.000  0.500  0.500
Nd  0.000  0.000  0.000
Te  0.500  0.248  0.249
Te  0.500  0.752  0.751
Te  0.000  0.244  0.746
Te  0.000  0.756  0.254

Calculated values
Volume in A^3/atom: 32.97
Crystal system: monoclinic
Energy in eV for the cell shown: -34.4

---

Entry 3:
The following is a DFT calculation (PBE) of a relaxed structure of NaCaNdTl.

Unit cell a=5.569 b=5.569 c=5.569 alpha=60.00 beta=60.00 gamma=60.00
Fractional positions:
Na  0.000  0.000  0.000
Tl  0.500  0.500  0.500
Nd  0.250  0.250  0.250
Ca  0.750  0.750  0.750

Calculated values
Energy of formation in meV per atom: -161
Volume in A^3/atom: 30.54
Crystal system: cubic
Energy in eV for the cell shown: -11.1

---

Entry 4:
The following is a DFT calculation (PBE) of a relaxed structure of NaCaNd2Tl4.

Unit cell a=5.472 b=5.472 c=9.511 alpha=73.28 beta=73.28 gamma=60.00
Fractional positions:
Na  0.500  0.500  0.500
Ca  0.000  0.000  0.000
Nd  0.753  0.753  0.742
Nd  0.247  0.247  0.258
Tl  0.376  0.376  0.871
Tl  0.875  0.875  0.376
Tl  0.125  0.125  0.624
Tl  0.624  0.624  0.129

Calculated values
Energy of formation in meV per atom: -333
Volume in A^3/atom: 29.08
Crystal system: trigonal
Energy in eV for the cell shown: -25.0

---

Entry 5:
The following is a DFT calculation (PBE) of a relaxed structure of NaCaNdZn.

Unit cell a=5.444 b=5.444 c=5.444 alpha=60.00 beta=60.00 gamma=60.00
Fractional positions:
Na  0.500  0.500  0.500
Zn  0.000  0.000  0.000
Nd  0.250  0.250  0.250
Ca  0.750  0.750  0.750

Calculated values
Energy of formation in meV per atom: 13
Volume in A^3/atom: 28.53
Crystal system: cubic
Energy in eV for the cell shown: -9.3

---

Entry 6:
The following is a DFT calculation (PBE) of a relaxed structure of NaCaNi3.

Unit cell a=4.790 b=4.790 c=4.790 alpha=90.00 beta=90.00 gamma=90.00
Fractional positions:
Ni  0.000  0.500  0.000
Ni  0.000  0.000  0.500
Ni  0.500  0.000  0.000
Ca  0.000  0.000  0.000
Na  0.500  0.500  0.500

Calculated values
Energy of formation in meV per atom: 1254
Volume in A^3/atom: 21.97
Crystal system: cubic
Energy in eV for the cell shown: -14.4

---

Entry 7:
The following is a DFT calculation (PBE) of a relaxed structure of NaCa3Ni.

Unit cell a=5.552 b=5.552 c=5.552 alpha=90.00 beta=90.00 gamma=90.00
Fractional positions:
Ni  0.000  0.000  0.000
Ca  0.000  0.500  0.000
Ca  0.000  0.000  0.500
Ca  0.500  0.000  0.000
Na  0.500  0.500  0.500

Calculated values
Energy of formation in meV per atom: -41
Volume in A^3/atom: 34.24
Crystal system: cubic
Energy in eV for the cell shown: -13.3

---

Entry 8:
The following is a DFT calculation (PBE) of a relaxed structure of NaCa3Ni.

Unit cell a=5.702 b=5.702 c=5.702 alpha=90.00 beta=90.00 gamma=90.00
Fractional positions:
Ni  0.500  0.500  0.500
Ca  0.000  0.500  0.000
Ca  0.000  0.000  0.500
Ca  0.500  0.000  0.000
Na  0.000  0.000  0.000

Calculated values
Energy of formation in meV per atom: 942
Volume in A^3/atom: 37.08
Crystal system: cubic
Energy in eV for the cell shown: -8.4

---

Entry 9:
The following is a DFT calculation (PBE) of a relaxed structure of NaCa3Ni.

Unit cell a=6.194 b=6.193 c=9.908 alpha=96.83 beta=96.78 gamma=62.54
Fractional positions:
Na  0.501  0.466  0.980
Na  0.868  0.834  0.075
Ca  0.234  0.200  0.261
Ca  0.134  0.100  0.793
Ca  0.434  0.400  0.619
Ca  0.600  0.565  0.338
Ca  0.935  0.900  0.435
Ca  0.768  0.735  0.717
Ni  0.002  0.332  0.527
Ni  0.366  0.968  0.527

Calculated values
Energy of formation in meV per atom: -26
Volume in A^3/atom: 33.40
Crystal system: monoclinic
Energy in eV for the cell shown: -26.5

---

Entry 10:
The following is a DFT calculation (PBE) of a relaxed structure of NaCaNi2.

Unit cell a=7.518 b=7.518 c=5.953 alpha=50.84 beta=50.84 gamma=90.00
Fractional positions:
Ni  0.619  0.125  0.250
Ni  0.131  0.625  0.250
Ni  0.375  0.381  0.750
Ni  0.875  0.869  0.750
Ca  0.000  0.000  0.000
Ca  0.750  0.250  0.500
Na  0.500  0.500  0.000
Na  0.250  0.750  0.500

Calculated values
Energy of formation in meV per atom: 517
Volume in A^3/atom: 18.93
Crystal system: tetragonal
Energy in eV for the cell shown: -25.6

---

Entry 11:
The following is a DFT calculation (PBE) of a relaxed structure of NaCa2NiP.

Unit cell a=5.615 b=5.615 c=4.245 alpha=90.00 beta=90.00 gamma=90.00
Fractional positions:
Ni  0.000  0.000  0.500
Ca  0.000  0.500  0.000
Ca  0.500  0.000  0.000
Na  0.500  0.500  0.500
P  0.000  0.000  0.000

Calculated values
Energy of formation in meV per atom: -359
Volume in A^3/atom: 26.77
Crystal system: tetragonal
Energy in eV for the cell shown: -18.3

---

Entry 12:
The following is a DFT calculation (PBE) of a relaxed structure of NaCa2NiPb.

Unit cell a=5.545 b=5.545 c=4.980 alpha=90.00 beta=90.00 gamma=90.00
Fractional positions:
Pb  0.000  0.000  0.500
Ni  0.000  0.000  0.000
Ca  0.000  0.500  0.000
Ca  0.500  0.000  0.000
Na  0.500  0.500  0.500

Calculated values
Energy of formation in meV per atom: -142
Volume in A^3/atom: 30.63
Crystal system: tetragonal
Energy in eV for the cell shown: -15.5

---

Entry 13:
The following is a DFT calculation (PBE) of a relaxed structure of Na2CaNiPd.

Unit cell a=5.858 b=4.874 c=5.858 alpha=90.00 beta=90.00 gamma=90.00
Fractional positions:
Ni  0.500  0.500  0.500
Ca  0.000  0.000  0.000
Pd  0.000  0.500  0.000
Na  0.000  0.000  0.500
Na  0.500  0.000  0.000

Calculated values
Energy of formation in meV per atom: 1048
Volume in A^3/atom: 33.45
Crystal system: tetragonal
Energy in eV for the cell shown: -10.4

---

Entry 14:
The following is a DFT calculation (PBE) of a relaxed structure of NaCa2NiSn.

Unit cell a=5.520 b=5.520 c=4.861 alpha=90.00 beta=90.00 gamma=90.00
Fractional positions:
Ni  0.000  0.000  0.000
Ca  0.000  0.500  0.000
Ca  0.500  0.000  0.000
Sn  0.000  0.000  0.500
Na  0.500  0.500  0.500

Calculated values
Energy of formation in meV per atom: -227
Volume in A^3/atom: 29.62
Crystal system: tetragonal
Energy in eV for the cell shown: -16.2

---

Entry 15:
The following is a DFT calculation (PBE) of a relaxed structure of NaSrCa2Ni.

Unit cell a=5.580 b=5.580 c=5.865 alpha=90.00 beta=90.00 gamma=90.00
Fractional positions:
Sr  0.000  0.000  0.500
Ca  0.000  0.500  0.000
Ca  0.500  0.000  0.000
Na  0.500  0.500  0.500
Ni  0.000  0.000  0.000

Calculated values
Energy of formation in meV per atom: -26
Volume in A^3/atom: 36.52
Crystal system: tetragonal
Energy in eV for the cell shown: -12.9

---

Entry 16:
The following is a DFT calculation (PBE) of a relaxed structure of NaSr2CaNi.

Unit cell a=5.899 b=5.899 c=5.582 alpha=90.00 beta=90.00 gamma=90.00
Fractional positions:
Sr  0.000  0.500  0.000
Sr  0.500  0.000  0.000
Ca  0.000  0.000  0.500
Na  0.500  0.500  0.500
Ni  0.000  0.000  0.000

Calculated values
Energy of formation in meV per atom: -18
Volume in A^3/atom: 38.84
Crystal system: tetragonal
Energy in eV for the cell shown: -12.6

---

Entry 17:
The following is a DFT calculation (PBE) of a relaxed structure of NaSr2CaNi.

Unit cell a=5.788 b=5.788 c=5.811 alpha=90.00 beta=90.00 gamma=90.00
Fractional positions:
Sr  0.000  0.500  0.000
Sr  0.500  0.000  0.000
Ca  0.500  0.500  0.500
Na  0.000  0.000  0.500
Ni  0.000  0.000  0.000

Calculated values
Energy of formation in meV per atom: 161
Volume in A^3/atom: 38.93
Crystal system: tetragonal
Energy in eV for the cell shown: -11.7

---

Entry 18:
The following is a DFT calculation (PBE) of a relaxed structure of NaSrCa2Ni.

Unit cell a=5.488 b=5.488 c=5.906 alpha=90.00 beta=90.00 gamma=90.00
Fractional positions:
Sr  0.500  0.500  0.500
Ca  0.000  0.500  0.000
Ca  0.500  0.000  0.000
Na  0.000  0.000  0.500
Ni  0.000  0.000  0.000

Calculated values
Energy of formation in meV per atom: 102
Volume in A^3/atom: 35.57
Crystal system: tetragonal
Energy in eV for the cell shown: -12.3

---

Entry 19:
The following is a DFT calculation (PBE) of a relaxed structure of NaCaTl2Ni.

Unit cell a=5.158 b=5.158 c=5.220 alpha=90.00 beta=90.00 gamma=90.00
Fractional positions:
Ni  0.000  0.000  0.000
Tl  0.000  0.500  0.000
Tl  0.500  0.000  0.000
Ca  0.000  0.000  0.500
Na  0.500  0.500  0.500

Calculated values
Energy of formation in meV per atom: -67
Volume in A^3/atom: 27.78
Crystal system: tetragonal
Energy in eV for the cell shown: -14.2

---

Entry 20:
The following is a DFT calculation (PBE) of a relaxed structure of NaCaY2Ni.

Unit cell a=5.296 b=5.296 c=5.712 alpha=90.00 beta=90.00 gamma=90.00
Fractional positions:
Y  0.000  0.500  0.000
Y  0.500  0.000  0.000
Ni  0.000  0.000  0.000
Ca  0.000  0.000  0.500
Na  0.500  0.500  0.500

Calculated values
Energy of formation in meV per atom: -5
Volume in A^3/atom: 32.04
Crystal system: tetragonal
Energy in eV for the cell shown: -22.1

---

Entry 21:
The following is a DFT calculation (PBE) of a relaxed structure of NaCa2ZnNi.

Unit cell a=5.417 b=5.417 c=4.768 alpha=90.00 beta=90.00 gamma=90.00
Fractional positions:
Ni  0.000  0.000  0.000
Zn  0.000  0.000  0.500
Ca  0.000  0.500  0.000
Ca  0.500  0.000  0.000
Na  0.500  0.500  0.500

Calculated values
Energy of formation in meV per atom: -51
Volume in A^3/atom: 27.98
Crystal system: tetragonal
Energy in eV for the cell shown: -12.6

---

Entry 22:
The following is a DFT calculation (PBE) of a relaxed structure of Na2Ca3NpO6.

Unit cell a=5.926 b=5.926 c=5.884 alpha=99.70 beta=99.70 gamma=119.82
Site moments in Bohr magnetons follow the coordinates.
Fractional positions:
Na  0.334  0.666  0.000  0.00
Na  0.666  0.334  0.000  0.00
Ca  0.173  0.827  0.500  0.01
Ca  0.827  0.173  0.500  0.01
Ca  0.500  0.500  0.500  0.01
Np  0.000  0.000  0.000  3.08
O  0.914  0.608  0.744  -0.03
O  0.783  0.783  0.244  -0.04
O  0.086  0.392  0.256  -0.03
O  0.608  0.914  0.744  -0.03
O  0.217  0.217  0.756  -0.04
O  0.392  0.086  0.256  -0.03

Calculated values
Volume in A^3/atom: 14.07
Crystal system: monoclinic
Energy in eV for the cell shown: -82.7

---

Entry 23:
The following is a DFT calculation (PBE) of a relaxed structure of NaCa2NpO6.

Unit cell a=5.840 b=5.840 c=6.097 alpha=61.38 beta=61.38 gamma=60.00
Fractional positions:
Na  0.806  0.806  0.583
Ca  0.534  0.534  0.399
Ca  0.020  0.020  0.940
Np  0.323  0.323  0.032
O  0.571  0.219  0.237
O  0.219  0.973  0.237
O  0.973  0.571  0.237
O  0.410  0.674  0.783
O  0.674  0.133  0.783
O  0.133  0.410  0.783

Calculated values
Volume in A^3/atom: 15.00
Crystal system: trigonal
Energy in eV for the cell shown: -75.1

---

Entry 24:
The following is a DFT calculation (PBE) of a relaxed structure of Na2CaNpO4.

Unit cell a=3.471 b=5.952 c=5.908 alpha=109.21 beta=90.00 gamma=90.00
Site moments in Bohr magnetons follow the coordinates.
Fractional positions:
Na  0.500  0.000  0.500  0.00
Na  0.000  0.500  0.500  0.00
Ca  0.500  0.500  0.000  0.01
Np  0.000  0.000  0.000  3.10
O  0.500  0.228  0.219  -0.05
O  0.500  0.772  0.781  -0.05
O  0.000  0.238  0.791  -0.05
O  0.000  0.762  0.209  -0.05

Calculated values
Volume in A^3/atom: 14.41
Crystal system: monoclinic
Energy in eV for the cell shown: -57.1

---

Entry 25:
The following is a DFT calculation (PBE) of a relaxed structure of Na2CaNpO6.

Unit cell a=5.783 b=5.946 c=8.269 alpha=90.00 beta=89.63 gamma=90.00
Site moments in Bohr magnetons follow the coordinates.
Fractional positions:
Na  0.008  0.957  0.255  0.00
Na  0.508  0.543  0.755  0.00
Na  0.992  0.043  0.745  0.00
Na  0.492  0.457  0.245  0.00
Ca  0.500  0.000  0.000  0.00
Ca  0.000  0.500  0.500  0.00
Np  0.500  0.000  0.500  0.04
Np  0.000  0.500  0.000  0.04
O  0.283  0.679  0.047  0.12
O  0.783  0.821  0.547  0.12
O  0.717  0.321  0.953  0.12
O  0.217  0.179  0.453  0.12
O  0.329  0.721  0.437  0.13
O  0.829  0.779  0.937  0.13
O  0.671  0.279  0.563  0.13
O  0.171  0.221  0.063  0.13
O  0.896  0.552  0.228  0.12
O  0.396  0.948  0.728  0.12
O  0.104  0.448  0.772  0.12
O  0.604  0.052  0.272  0.12

Calculated values
Volume in A^3/atom: 14.22
Crystal system: monoclinic
Energy in eV for the cell shown: -140.2

---

Entry 26:
The following is a DFT calculation (PBE) of a relaxed structure of Na2Ca2NpO6.

Unit cell a=5.895 b=5.895 c=5.912 alpha=99.70 beta=99.70 gamma=118.57
Site moments in Bohr magnetons follow the coordinates.
Fractional positions:
Na  0.832  0.168  0.000  0.00
Na  0.168  0.832  0.000  0.00
Ca  0.337  0.663  0.500  0.00
Ca  0.663  0.337  0.500  0.00
Np  0.000  0.000  0.500  1.21
O  0.778  0.778  0.701  -0.04
O  0.053  0.362  0.701  -0.04
O  0.222  0.222  0.299  -0.04
O  0.362  0.053  0.701  -0.04
O  0.947  0.638  0.299  -0.04
O  0.638  0.947  0.299  -0.04

Calculated values
Volume in A^3/atom: 15.48
Crystal system: monoclinic
Energy in eV for the cell shown: -78.3